5
Lattice="3.575 0.000 0.000 0.000 3.575 0.000 0.000 0.000 4.356" Properties=species:S:1:pos:R:3 comment="PBE with a Hubbard U CrAuNO2, relaxed" dos_at_fermi_per_ev_cell=3.4 rho_g_cm3=8.80 energy_ev_per_cell=-27.21 spacegroup=P4/mmm total_magnetization_mub_per_atom=0.0000 pbc="T T T"
Cr 0.000 0.000 0.000
Au 1.788 1.788 2.178
N 0.000 0.000 2.178
O 0.000 1.788 0.000
O 1.788 0.000 0.000